# 1
Below is an optimized crystal structure of VZn2Co3, with properties calculated at the PBE-GGA level.

Values from the calculation:
calculated density = 8.42 g/cm³
magnetization = 0.000 μB/cell
calculated total energy = -5.63 eV/atom
ΔH_f (0 K) = -0.135 eV/atom
D(E_F) = 0.51 states/eV per atom

a b c (Å): 4.0618 6.4233 5.7130
angles (deg): 90.00 90.00 71.57
Sites, in units of the cell vectors:
V1 0.3392 0.3216 0.0000
V2 0.6608 0.6784 0.0000
Zn1 0.0000 0.0000 0.0000
Zn2 0.0000 0.0000 0.5000
Zn3 0.3326 0.3349 0.5000
Zn4 0.6674 0.6651 0.5000
Co1 0.8283 0.3434 0.7654
Co2 0.5000 0.0000 0.2480
Co3 0.1717 0.6566 0.2346
Co4 0.8283 0.3434 0.2346
Co5 0.1717 0.6566 0.7654
Co6 0.5000 0.0000 0.7520


# 2
Below is an optimized crystal structure of La2Cl, with properties calculated at the PBE-GGA level.

Values from the calculation:
excess energy over the best structure of this formula in the dataset = 11 meV/atom
calculated density = 5.57 g/cm³
magnetization = 0.000 μB/cell
calculated total energy = -4.89 eV/atom
D(E_F) = 1.14 states/eV per atom
formation energy without anion corrections = -0.994 eV/atom

a b c (Å): 8.1416 8.1416 5.8405
angles (deg): 90.00 90.00 151.15
Sites, in units of the cell vectors:
Cl1 0.0374 0.9626 0.0000
Cl2 0.4071 0.5929 0.5000
La1 0.3970 0.6030 0.0000
La2 0.6742 0.3258 0.0000
La3 0.7703 0.2297 0.5000
La4 0.0474 0.9526 0.5000


# 3
Below is an optimized crystal structure of Pa2ZnBi, with properties calculated at the PBE-GGA level.

Values from the calculation:
excess energy over the best structure of this formula in the dataset = 13 meV/atom
calculated density = 12.48 g/cm³
magnetization = 1.732 μB/cell
calculated total energy = -5.98 eV/atom
ΔH_f (0 K) = 0.052 eV/atom
D(E_F) = 2.02 states/eV per atom

a b c (Å): 4.6643 4.5837 4.5837
angles (deg): 90.00 90.00 90.00
Sites, in units of the cell vectors:
Zn1 0.5000 0.0000 0.0000
Pa1 0.0000 0.0000 0.5000
Pa2 0.0000 0.5000 0.0000
Bi1 0.5000 0.5000 0.5000


# 4
Below is an optimized crystal structure of Fe2NiIr, with properties calculated at the PBE-GGA level.

Values from the calculation:
calculated density = 12.11 g/cm³
magnetization = 5.971 μB/cell
calculated total energy = -7.89 eV/atom
ΔH_f (0 K) = 0.000 eV/atom
D(E_F) = 1.18 states/eV per atom

a b c (Å): 2.6252 4.4588 5.2173
angles (deg): 54.48 90.00 90.00
Sites, in units of the cell vectors:
Ni1 0.0000 0.0000 0.5000
Ir1 0.5000 0.5000 0.5000
Fe1 0.0000 0.0000 0.0000
Fe2 0.5000 0.5000 0.0000


# 5
Below is an optimized crystal structure of TbPm8Ir6, with properties calculated at the PBE-GGA level.

Values from the calculation:
calculated density = 10.75 g/cm³
magnetization = 0.000 μB/cell
calculated total energy = -7.03 eV/atom
ΔH_f (0 K) = -0.643 eV/atom
D(E_F) = 0.71 states/eV per atom

a b c (Å): 7.8697 7.8697 7.8697
angles (deg): 64.94 64.94 64.94
Sites, in units of the cell vectors:
Tb1 0.0000 0.0000 0.0000
Pm1 0.2193 0.5592 0.8859
Pm2 0.1141 0.7807 0.4408
Pm3 0.4408 0.1141 0.7807
Pm4 0.6677 0.6677 0.6677
Pm5 0.3323 0.3323 0.3323
Pm6 0.5592 0.8859 0.2193
Pm7 0.8859 0.2193 0.5592
Pm8 0.7807 0.4408 0.1141
Ir1 0.0562 0.3885 0.7254
Ir2 0.2746 0.9438 0.6115
Ir3 0.6115 0.2746 0.9438
Ir4 0.3885 0.7254 0.0562
Ir5 0.7254 0.0562 0.3885
Ir6 0.9438 0.6115 0.2746


# 6
Below is an optimized crystal structure of Mg2Ga4Ru, with properties calculated at the PBE-GGA level.

Values from the calculation:
excess energy over the best structure of this formula in the dataset = 0 meV/atom
calculated density = 5.42 g/cm³
magnetization = 0.000 μB/cell
calculated total energy = -3.54 eV/atom
ΔH_f (0 K) = -0.034 eV/atom
D(E_F) = 0.33 states/eV per atom

a b c (Å): 3.1989 4.6503 9.1211
angles (deg): 104.77 90.00 90.00
Sites, in units of the cell vectors:
Mg1 0.5000 0.2080 0.4161
Mg2 0.5000 0.7920 0.5839
Ga1 0.5000 0.6156 0.2311
Ga2 0.0000 0.9269 0.8538
Ga3 0.5000 0.3844 0.7689
Ga4 0.0000 0.0731 0.1462
Ru1 0.0000 0.5000 0.0000


# 7
Below is an optimized crystal structure of PmY2Cd, with properties calculated at the PBE-GGA level.

Values from the calculation:
excess energy over the best structure of this formula in the dataset = 163 meV/atom
calculated density = 6.16 g/cm³
magnetization = 0.552 μB/cell
calculated total energy = -4.65 eV/atom
ΔH_f (0 K) = -0.001 eV/atom
D(E_F) = 1.53 states/eV per atom

a b c (Å): 5.4961 5.4961 5.4961
angles (deg): 60.00 60.00 60.00
Sites, in units of the cell vectors:
Y1 0.2500 0.2500 0.2500
Y2 0.7500 0.7500 0.7500
Cd1 0.5000 0.5000 0.5000
Pm1 0.0000 0.0000 0.0000


# 8
Below is an optimized crystal structure of B2IO3, with properties calculated at the PBE-GGA level.

Values from the calculation:
calculated density = 3.61 g/cm³
magnetization = 0.000 μB/cell
calculated total energy = -6.67 eV/atom
D(E_F) = 0.31 states/eV per atom
formation energy without anion corrections = -1.711 eV/atom

a b c (Å): 2.6997 4.7787 14.8420
angles (deg): 99.42 90.00 106.41
Sites, in units of the cell vectors:
B1 0.3946 0.7892 0.5727
B2 0.6054 0.2108 0.4273
B3 0.8568 0.7135 0.4104
B4 0.1432 0.2865 0.5896
I1 0.9430 0.8860 0.1121
I2 0.0570 0.1140 0.8879
O1 0.2910 0.5820 0.6314
O2 0.8733 0.7467 0.5141
O3 0.5587 0.1175 0.6107
O4 0.4413 0.8825 0.3893
O5 0.1267 0.2533 0.4859
O6 0.7090 0.4180 0.3686